# Li2MnNiP2O8, relaxed, DFT PBE with a Hubbard U
data_Li2MnNiP2O8
_chemical_formula_sum 'Li4 Mn2 Ni2 P4 O16'
_cell_length_a 4.763
_cell_length_b 6.043
_cell_length_c 10.388
_cell_angle_alpha 90.00
_cell_angle_beta 90.06
_cell_angle_gamma 90.00
_symmetry_space_group_name_H-M 'P 1 21/m 1'
_symmetry_Int_Tables_number 11
_symmetry_space_group_name_Hall '-P 2yb'
loop_
_atom_site_label
_atom_site_type_symbol
_atom_site_fract_x
_atom_site_fract_y
_atom_site_fract_z
Li1 Li 0.000 0.000 0.000
Li2 Li 0.500 0.000 0.500
Mn1 Mn 0.018 0.250 0.276
Ni1 Ni 0.480 0.250 0.780
P1 P 0.091 0.750 0.401
P2 P 0.420 0.750 0.912
O1 O 0.204 0.750 0.541
O2 O 0.232 0.250 0.606
O3 O 0.232 0.547 0.332
O4 O 0.258 0.250 0.091
O5 O 0.286 0.545 0.841
O6 O 0.294 0.750 0.051
# - calculated density (g/cm3) = 3.526
# - volume (Å³ per cell) = 299.0
# - DFT total energy (eV/cell) = -188.23